Density functional theory data (PBE-GGA) for Mn2Fe after structural relaxation.

Calculated values
**DFT formation energy**: 0.68 eV per atom

Cell: 4.000 4.000 2.593 Å, 90.00 90.00 90.00°
Element x y z (fractional)
Fe 0.000 0.000 0.000
Mn 0.000 0.500 0.500
Mn 0.500 0.000 0.500

Density functional theory data (PBE-GGA) for Mn6Fe after structural relaxation.

Calculated values
**DFT formation energy**: 0.15 eV per atom

Cell: 4.514 7.695 9.094 Å, 90.00 90.00 90.00°
Element x y z (fractional)
Mn 0.500 0.250 0.585
Mn 0.500 0.750 0.415
Mn 0.000 0.750 0.915
Mn 0.000 0.250 0.085
Mn 0.253 0.250 0.810
Mn 0.747 0.750 0.190
Mn 0.753 0.750 0.690
Mn 0.247 0.250 0.310
Mn 0.247 0.488 0.445
Mn 0.753 0.512 0.555
Mn 0.747 0.512 0.055
Mn 0.753 0.988 0.555
Mn 0.253 0.488 0.945
Mn 0.247 0.012 0.445
Mn 0.253 0.012 0.945
Mn 0.747 0.988 0.055
Mn 0.753 0.417 0.806
Mn 0.247 0.583 0.194
Mn 0.253 0.583 0.694
Mn 0.247 0.917 0.194
Mn 0.747 0.417 0.306
Mn 0.753 0.083 0.806
Mn 0.747 0.083 0.306
Mn 0.253 0.917 0.694
Fe 0.005 0.250 0.587
Fe 0.995 0.750 0.413
Fe 0.505 0.750 0.913
Fe 0.495 0.250 0.087

Density functional theory data (PBE-GGA) for Mn2Fe5 after structural relaxation.

Calculated values
**DFT formation energy**: 0.08 eV per atom

Cell: 4.689 6.298 5.644 Å, 89.95 107.59 81.96°
Element x y z (fractional)
Mn 0.502 0.498 0.251
Mn 0.206 0.928 0.673
Mn 0.498 0.502 0.749
Mn 0.794 0.072 0.327
Fe 0.074 0.642 0.893
Fe 0.214 0.929 0.178
Fe 0.927 0.359 0.608
Fe 0.359 0.214 0.465
Fe 0.073 0.641 0.392
Fe 0.641 0.786 0.535
Fe 0.786 0.071 0.822
Fe 0.926 0.358 0.107
Fe 0.642 0.787 0.036
Fe 0.358 0.213 0.964

Density functional theory data (PBE-GGA) for Mn8Fe3 after structural relaxation.

Calculated values
**DFT formation energy**: 0.75 eV per atom

Cell: 5.243 5.243 5.243 Å, 86.95 86.95 86.95°
Element x y z (fractional)
Mn 0.772 0.155 0.771
Mn 0.771 0.772 0.155
Mn 0.155 0.771 0.772
Mn 0.608 0.608 0.608
Mn 0.392 0.392 0.392
Mn 0.845 0.229 0.228
Mn 0.229 0.228 0.845
Mn 0.228 0.845 0.229
Fe 0.000 0.500 0.500
Fe 0.500 0.000 0.500
Fe 0.500 0.500 0.000

Density functional theory data (PBE-GGA) for MnFe2 after structural relaxation.

Calculated values
**DFT formation energy**: 0.94 eV per atom

Cell: 5.388 5.388 5.388 Å, 90.00 90.00 90.00°
Element x y z (fractional)
Mn 0.000 0.000 0.000
Mn 0.500 0.500 0.000
Mn 0.500 0.000 0.500
Mn 0.000 0.500 0.500
Fe 0.376 0.376 0.376
Fe 0.624 0.624 0.624
Fe 0.876 0.124 0.624
Fe 0.124 0.876 0.376
Fe 0.624 0.876 0.124
Fe 0.376 0.124 0.876
Fe 0.124 0.624 0.876
Fe 0.876 0.376 0.124

Density functional theory data (PBE-GGA) for Mn3Fe2 after structural relaxation.

Calculated values
**DFT formation energy**: 0.09 eV per atom

Cell: 10.260 10.260 10.260 Å, 13.83 13.83 13.83°
Element x y z (fractional)
Mn 0.000 0.000 0.000
Mn 0.199 0.199 0.199
Mn 0.801 0.801 0.801
Fe 0.600 0.600 0.600
Fe 0.400 0.400 0.400

Density functional theory data (PBE-GGA) for Mn3Fe after structural relaxation.

Calculated values
**DFT formation energy**: 0.04 eV per atom

Cell: 2.486 3.967 4.284 Å, 90.00 90.00 90.00°
Element x y z (fractional)
Mn 0.500 0.000 0.499
Mn 0.500 0.500 0.836
Mn 0.000 0.500 0.335
Fe 0.000 0.000 0.997

Density functional theory data (PBE-GGA) for Mn2Fe after structural relaxation.

Calculated values
**DFT formation energy**: 0.17 eV per atom

Cell: 4.449 4.449 4.449 Å, 104.28 104.28 120.43°
Element x y z (fractional)
Mn 0.640 0.140 0.780
Mn 0.360 0.860 0.220
Mn 0.860 0.640 0.500
Mn 0.140 0.360 0.500
Fe 0.750 0.750 0.000
Fe 0.250 0.250 0.000

Density functional theory data (PBE-GGA) for Mn3Fe2 after structural relaxation.

Calculated values
**DFT formation energy**: 0.51 eV per atom

Cell: 6.037 6.037 5.213 Å, 54.62 54.62 60.00°
Element x y z (fractional)
Mn 0.012 0.750 0.750
Mn 0.750 0.488 0.750
Mn 0.488 0.012 0.750
Mn 0.250 0.512 0.250
Mn 0.512 0.988 0.250
Mn 0.988 0.250 0.250
Fe 0.906 0.906 0.282
Fe 0.406 0.406 0.782
Fe 0.094 0.094 0.718
Fe 0.594 0.594 0.218

Density functional theory data (PBE-GGA) for Mn3Fe after structural relaxation.

Calculated values
**DFT formation energy**: 0.04 eV per atom

Cell: 2.518 2.518 7.022 Å, 90.00 90.00 90.00°
Element x y z (fractional)
Mn 0.500 0.500 0.750
Mn 0.000 0.000 0.500
Mn 0.500 0.500 0.250
Fe 0.000 0.000 0.000

Density functional theory data (PBE-GGA) for MnFe2 after structural relaxation.

Calculated values
**DFT formation energy**: 0.04 eV per atom

Cell: 2.466 4.633 5.808 Å, 76.71 90.00 105.43°
Element x y z (fractional)
Fe 0.000 0.999 0.000
Fe 0.667 0.334 0.667
Fe 0.333 0.665 0.334
Fe 0.389 0.778 0.722
Mn 0.055 0.110 0.389
Mn 0.723 0.447 0.054

Density functional theory data (PBE-GGA) for Mn2Fe after structural relaxation.

Calculated values
**DFT formation energy**: 0.10 eV per atom

Cell: 4.279 4.279 4.279 Å, 146.76 131.64 59.94°
Element x y z (fractional)
Mn 0.334 0.334 0.000
Mn 0.666 0.666 0.000
Fe 0.000 0.000 0.000

Look up the DFT formation energy of the second one.
0.15 eV per atom

Look up the DFT formation energy of the fourth one.
0.75 eV per atom